# Tm4AlBi, optimized geometry, DFT PBE
data_Tm4AlBi
_chemical_formula_sum 'Tm8 Al2 Bi2'
_cell_length_a 11.316
_cell_length_b 11.316
_cell_length_c 6.384
_cell_angle_alpha 90.00
_cell_angle_beta 90.00
_cell_angle_gamma 153.24
_symmetry_space_group_name_H-M 'P 1'
_symmetry_Int_Tables_number 1
_symmetry_space_group_name_Hall 'P 1'
loop_
_atom_site_label
_atom_site_type_symbol
_atom_site_fract_x
_atom_site_fract_y
_atom_site_fract_z
Tm1 Tm 0.071 0.929 0.750
Tm2 Tm 0.209 0.791 0.508
Tm3 Tm 0.209 0.791 0.992
Tm4 Tm 0.358 0.642 0.750
Tm5 Tm 0.642 0.358 0.250
Tm6 Tm 0.791 0.209 0.008
Tm7 Tm 0.791 0.209 0.492
Tm8 Tm 0.929 0.071 0.250
Al1 Al 0.338 0.662 0.250
Al2 Al 0.662 0.338 0.750
Bi1 Bi 0.069 0.931 0.250
Bi2 Bi 0.931 0.069 0.750
# DOS at the Fermi energy   10.49 states/eV/cell
# Distance to the lowest polymorph of the same formula   2.721 kcal/mol of atoms
# Total magnetic moment   0.0000 μB/atom
# Energy relative to the elements   -141 kJ/mol of formula units